Record 1
This record from Alexandria via LeMat-Bulk describes a relaxed structure of Rb3Sn2Bi3. The functional is PBE.

Calculated values
calculated total energy: -97.26 eV/cell
DFT formation energy: -170 kJ/mol of formula units

The structure in CIF format:
```
data_Rb3Sn2Bi3
_chemical_formula_sum 'Rb12 Sn8 Bi12'
_cell_length_a 6.125
_cell_length_b 12.436
_cell_length_c 16.643
_cell_angle_alpha 90.00
_cell_angle_beta 90.00
_cell_angle_gamma 90.00
_symmetry_space_group_name_H-M 'C m c m'
_symmetry_Int_Tables_number 63
_symmetry_space_group_name_Hall '-C 2c 2'
loop_
_atom_site_label
_atom_site_type_symbol
_atom_site_fract_x
_atom_site_fract_y
_atom_site_fract_z
Rb1 Rb 0.000 0.024 0.250
Rb2 Rb 0.000 0.152 0.526
Sn1 Sn 0.000 0.319 0.165
Bi1 Bi 0.000 0.284 0.750
Bi2 Bi 0.000 0.457 0.603
```


Record 2
This record from Alexandria via LeMat-Bulk describes a relaxed structure of Rb2Sn3Bi2. The functional is PBE.

Calculated values
calculated total energy: -45.67 eV/cell
DFT formation energy: -109 kJ/mol of formula units

The structure in CIF format:
```
data_Rb2Sn3Bi2
_chemical_formula_sum 'Rb4 Sn6 Bi4'
_cell_length_a 13.008
_cell_length_b 5.441
_cell_length_c 8.169
_cell_angle_alpha 90.00
_cell_angle_beta 115.63
_cell_angle_gamma 90.00
_symmetry_space_group_name_H-M 'C 1 2/m 1'
_symmetry_Int_Tables_number 12
loop_
_symmetry_equiv_pos_as_xyz
'x,y,z'
'-x,-y,-z'
'-x,y,-z'
'x,-y,z'
'x+1/2,y+1/2,z'
'-x+1/2,-y+1/2,-z'
'-x+1/2,y+1/2,-z'
'x+1/2,-y+1/2,z'
loop_
_atom_site_label
_atom_site_type_symbol
_atom_site_fract_x
_atom_site_fract_y
_atom_site_fract_z
Rb1 Rb 0.154 0.000 0.287
Sn1 Sn 0.000 0.500 0.500
Sn2 Sn 0.093 0.500 0.915
Bi1 Bi 0.151 0.000 0.769
```


Record 3
This record from Alexandria via LeMat-Bulk describes a relaxed structure of Rb4Sn2Bi5. The functional is PBE.

Calculated values
calculated total energy: -33.60 eV/cell
DFT formation energy: -224 kJ/mol of formula units

The structure in CIF format:
```
data_Rb4Sn2Bi5
_chemical_formula_sum 'Rb4 Sn2 Bi5'
_cell_length_a 8.430
_cell_length_b 5.881
_cell_length_c 9.657
_cell_angle_alpha 90.00
_cell_angle_beta 92.17
_cell_angle_gamma 90.00
_symmetry_space_group_name_H-M 'P 1 2/m 1'
_symmetry_Int_Tables_number 10
loop_
_symmetry_equiv_pos_as_xyz
'x,y,z'
'-x,-y,-z'
'-x,y,-z'
'x,-y,z'
loop_
_atom_site_label
_atom_site_type_symbol
_atom_site_fract_x
_atom_site_fract_y
_atom_site_fract_z
Rb1 Rb 0.229 0.000 0.126
Rb2 Rb 0.271 0.000 0.631
Sn1 Sn 0.427 0.500 0.866
Bi1 Bi 0.000 0.500 0.500
Bi2 Bi 0.080 0.500 0.845
Bi3 Bi 0.369 0.500 0.386
```


Record 4
This record from Alexandria via LeMat-Bulk describes a relaxed structure of Rb2SnBi2. The functional is PBE.

Calculated values
calculated total energy: -29.73 eV/cell
DFT formation energy: -112 kJ/mol of formula units
excess energy over the best structure of this formula in the dataset: 0.04 eV/f.u.

The structure in CIF format:
```
data_Rb2SnBi2
_chemical_formula_sum 'Rb4 Sn2 Bi4'
_cell_length_a 8.320
_cell_length_b 8.320
_cell_length_c 6.007
_cell_angle_alpha 90.00
_cell_angle_beta 90.00
_cell_angle_gamma 90.00
_symmetry_space_group_name_H-M 'P 4/m b m'
_symmetry_Int_Tables_number 127
_symmetry_space_group_name_Hall '-P 4 2ab'
loop_
_atom_site_label
_atom_site_type_symbol
_atom_site_fract_x
_atom_site_fract_y
_atom_site_fract_z
Rb1 Rb 0.174 0.326 0.000
Sn1 Sn 0.000 0.000 0.500
Bi1 Bi 0.131 0.631 0.500
```


| no. | DOS at the Fermi energy (states/eV per cell) |
| --- | --- |
| 1 | 9.02 |
| 2 | 6.91 |
| 3 | 6.98 |
| 4 | 5.12 |